# Tb6Sn2BiTe3 GGA-PBE relaxed
data_Tb6Sn2BiTe3
_chemical_formula_sum 'Tb12 Sn4 Bi2 Te6'
_cell_length_a 19.250
_cell_length_b 4.423
_cell_length_c 8.848
_cell_angle_alpha 90.00
_cell_angle_beta 103.09
_cell_angle_gamma 90.00
_space_group_name_H-M_alt 'C 1 2/m 1'
_space_group_IT_number 12
loop_
_space_group_symop_operation_xyz
'x,y,z'
'-x,-y,-z'
'-x,y,-z'
'x,-y,z'
'x+1/2,y+1/2,z'
'-x+1/2,-y+1/2,-z'
'-x+1/2,y+1/2,-z'
'x+1/2,-y+1/2,z'
loop_
_atom_site_label
_atom_site_type_symbol
_atom_site_fract_x
_atom_site_fract_y
_atom_site_fract_z
_atom_site_occupancy
Tb1 Tb 0.005 0.000 0.251 1
Tb2 Tb 0.167 0.500 0.095 1
Tb3 Tb 0.170 0.500 0.576 1
Sn1 Sn 0.167 0.000 0.334 1
Bi1 Bi 0.000 0.500 0.000 1
Te1 Te 0.000 0.500 0.500 1
Te2 Te 0.165 0.000 0.834 1
# DOS(E_F) = 4.19 states/eV/cell
# total moment = 0.000 μB/atom
# uncorrected formation energy = -1.096 eV per atom